# NaYFeSe3

A geometry-optimized NaYFeSe3 structure (PBE, OQMD via LeMat-Bulk).

a = 11.1870 Å, b = 4.1399 Å, c = 12.0365 Å
α = 90.00°, β = 90.00°, γ = 90.00°
Fractional coordinates of all 24 atoms:
Na 0.1771 0.2500 0.0016
Na 0.3229 0.7500 0.5016
Na 0.6771 0.2500 0.4984
Na 0.8229 0.7500 0.9984
Y 0.0167 0.2500 0.3138
Y 0.4833 0.7500 0.8138
Y 0.5167 0.2500 0.1862
Y 0.9833 0.7500 0.6862
Fe 0.2490 0.2500 0.7134
Fe 0.2510 0.7500 0.2134
Fe 0.7490 0.2500 0.7866
Fe 0.7510 0.7500 0.2866
Se 0.0497 0.7500 0.1466
Se 0.1054 0.2500 0.5633
Se 0.2183 0.7500 0.8170
Se 0.2817 0.2500 0.3170
Se 0.3946 0.7500 0.0633
Se 0.4503 0.2500 0.6466
Se 0.5497 0.7500 0.3534
Se 0.6054 0.2500 0.9367
Se 0.7183 0.7500 0.6830
Se 0.7817 0.2500 0.1830
Se 0.8946 0.7500 0.4367
Se 0.9503 0.2500 0.8534

Properties
VASP energy = -5.51 eV/atom

=====

# BaCd2Te2F2

A geometry-optimized BaCd2Te2F2 structure (PBE, OQMD via LeMat-Bulk).

a = 4.1048 Å, b = 4.1048 Å, c = 10.4817 Å
α = 90.00°, β = 90.00°, γ = 90.00°
Fractional coordinates of all 7 atoms:
Ba 0.0000 0.0000 0.0000
Cd 0.0000 0.5000 0.6254
Cd 0.5000 0.0000 0.3746
Te 0.0000 0.5000 0.2438
Te 0.5000 0.0000 0.7562
F 0.0000 0.0000 0.5000
F 0.5000 0.5000 0.5000

Properties
VASP energy = -3.19 eV/atom

=====

# KErLuC

A geometry-optimized KErLuC structure (PBE, OQMD via LeMat-Bulk).

a = 3.5686 Å, b = 3.5686 Å, c = 20.3264 Å
α = 90.00°, β = 90.00°, γ = 120.00°
Fractional coordinates of all 8 atoms:
K 0.0000 0.0000 0.0000
K 0.3333 0.6667 0.5000
Er 0.0000 0.0000 0.3137
Er 0.0000 0.0000 0.6863
Lu 0.3333 0.6667 0.1853
Lu 0.3333 0.6667 0.8147
C 0.6667 0.3333 0.2481
C 0.6667 0.3333 0.7519

Properties
VASP energy = -4.92 eV/atom

=====

# InAgO2

A geometry-optimized InAgO2 structure (PBE, OQMD via LeMat-Bulk).

a = 3.2907 Å, b = 3.2907 Å, c = 12.7350 Å
α = 90.00°, β = 90.00°, γ = 120.00°
Fractional coordinates of all 8 atoms:
In 0.0000 0.0000 0.0000
In 0.0000 0.0000 0.5000
Ag 0.3333 0.6667 0.2500
Ag 0.6667 0.3333 0.7500
O 0.3333 0.6667 0.0857
O 0.3333 0.6667 0.4143
O 0.6667 0.3333 0.5857
O 0.6667 0.3333 0.9143

Properties
VASP energy = -4.92 eV/atom